Here is crystalline Er7ThSc3 at its relaxed geometry from Alexandria. Energies are from PBE-GGA.

Cell lengths 6.8992, 6.8992, 8.2376 Å; angles 90.00, 90.00, 120.00 degrees
Closest atoms and distances in Å follow each position.
Fractional positions:
Er (0.0000, 0.0000, 0.0000)  3 Sc 3.37, 9 Er 3.45-3.49
Er (0.1654, 0.3309, 0.3490)  2 Sc 3.33, 7 Er 3.42-3.49, 2 Th 3.45
Er (0.1654, 0.8346, 0.3490)  2 Sc 3.33, 7 Er 3.42-3.49, 2 Th 3.45
Er (0.5027, 0.0053, 0.0025)  2 Sc 3.36, 8 Er 3.39-3.50, 1 Th 3.43
Er (0.5027, 0.4973, 0.0025)  2 Sc 3.36, 8 Er 3.39-3.50, 1 Th 3.43
Er (0.6691, 0.8346, 0.3490)  2 Sc 3.33, 7 Er 3.42-3.49, 2 Th 3.45
Er (0.9947, 0.4973, 0.0025)  2 Sc 3.36, 8 Er 3.39-3.50, 1 Th 3.43
Th (0.6667, 0.3333, 0.3440)  3 Sc 3.35, 9 Er 3.43-3.45
Sc (0.3369, 0.1684, 0.6722)  5 Er 3.33-3.37, 1 Th 3.35, 4 Sc 3.41-3.49
Sc (0.8316, 0.1684, 0.6722)  5 Er 3.33-3.37, 1 Th 3.35, 4 Sc 3.41-3.49
Sc (0.8316, 0.6631, 0.6722)  5 Er 3.33-3.37, 1 Th 3.35, 4 Sc 3.41-3.49

As for the polymorph energy (0 for the lowest one): 0.061 eV/atom. The energy relative to the elements is 0.21 eV/atom. The value obtained for the uncorrected energy is -5.09 eV per atom.

Here is crystalline CrHPd3 at its relaxed geometry from Alexandria. Energies are from PBE-GGA.

Cell lengths 9.6691, 9.6691, 9.6691 Å; angles 151.40, 151.40, 40.89 degrees
Closest atoms and distances in Å follow each position.
Fractional positions:
Cr (0.0000, 0.0000, 0.0000)  4 Pd 2.57
Cr (0.7500, 0.2500, 0.5000)  4 Pd 2.55
H (0.1295, 0.6295, 0.5000)  6 Pd 2.39-2.66
H (0.3705, 0.8705, 0.5000)  6 Pd 2.39-2.66
Pd (0.3623, 0.3623, 0.0000)  2 H 2.39
Pd (0.3720, 0.1260, 0.2460)  2 Pd 2.35-2.43, 2 Cr 2.55-2.57
Pd (0.6377, 0.6377, 0.0000)  2 H 2.39
Pd (0.8740, 0.1199, 0.2460)  2 Pd 2.35-2.43, 2 Cr 2.55-2.57
Pd (0.8740, 0.6280, 0.7540)  2 Pd 2.35-2.43, 2 Cr 2.55-2.57
Pd (0.8801, 0.1260, 0.7540)  2 Pd 2.35-2.43, 2 Cr 2.55-2.57

As for the polymorph energy (0 for the lowest one): 1.084 eV/atom. The value obtained for the uncorrected energy is -4.72 eV per atom.

Here is crystalline NaTlC at its relaxed geometry from Alexandria. Energies are from PBE-GGA.

Cell lengths 7.3291, 4.2216, 6.9226 Å; angles 90.00, 90.00, 90.00 degrees
Closest atoms and distances in Å follow each position.
Fractional positions:
Na (0.0473, 0.2500, 0.1692)  3 C 2.72-2.83
Na (0.4527, 0.7500, 0.6692)  3 C 2.72-2.83
Na (0.5473, 0.2500, 0.3308)  3 C 2.72-2.83
Na (0.9527, 0.7500, 0.8308)  3 C 2.72-2.83
Tl (0.1608, 0.2500, 0.5963)  4 C 2.43-2.50
Tl (0.3392, 0.7500, 0.0963)  4 C 2.43-2.50
Tl (0.6608, 0.2500, 0.9037)  4 C 2.43-2.50
Tl (0.8392, 0.7500, 0.4037)  4 C 2.43-2.50
C (0.1795, 0.7500, 0.4037)  4 Tl 2.43-2.50, 1 Na 2.72
C (0.3205, 0.2500, 0.9037)  4 Tl 2.43-2.50, 1 Na 2.72
C (0.6795, 0.7500, 0.0963)  4 Tl 2.43-2.50, 1 Na 2.72
C (0.8205, 0.2500, 0.5963)  4 Tl 2.43-2.50, 1 Na 2.72

The energy relative to the elements is 1.09 eV/atom. The value obtained for the uncorrected energy is -3.21 eV per atom.

Here is crystalline SnC3F at its relaxed geometry from Alexandria. Energies are from PBE-GGA.

Cell lengths 4.3616, 4.3616, 4.3616 Å; angles 90.00, 90.00, 90.00 degrees
Closest atoms and distances in Å follow each position.
Fractional positions:
Sn (0.0000, 0.0000, 0.0000)  6 C 2.18
C (0.0000, 0.0000, 0.5000)  2 Sn 2.18
C (0.0000, 0.5000, 0.0000)  2 Sn 2.18
C (0.5000, 0.0000, 0.0000)  2 Sn 2.18
F (0.5000, 0.5000, 0.5000)  12 C 3.08

The calculation puts the uncorrected formation energy at 3.00 eV per atom. As for the polymorph energy (0 for the lowest one): 0.081 eV/atom. The value obtained for the uncorrected energy is -3.71 eV per atom.

Q: The highest uncorrected energy belongs to which entry?
A: NaTlC

Q: The highest uncorrected energy belongs to which entry?
A: NaTlC